Entry 1:
The following is a DFT calculation (PBE) of crystalline Na4Tl3PdO8 at its relaxed geometry.

Cell and atoms, written as POSCAR:
```
Na4Tl3PdO8
1.0
-6.3392 -1.2516 1.7122
2.0523 -5.0955 3.8734
2.5572 6.2117 0.9598
Na O Tl Pd
4 8 3 1
direct
0.0000 0.0000 0.0000
0.5000 0.0000 0.0000
0.5000 0.0000 0.5000
0.0000 0.0000 0.5000
0.7481 0.2650 0.4962
0.7795 0.2900 0.0119
0.2584 0.2706 0.5167
0.2205 0.7100 0.9881
0.2324 0.2900 0.0119
0.7416 0.7294 0.4833
0.2519 0.7350 0.5038
0.7676 0.7100 0.9881
0.0000 0.5000 0.5000
0.5000 0.5000 0.5000
0.5000 0.5000 0.0000
0.0000 0.5000 0.0000
```

Values from the calculation:
E_tot (eV per atom): -4.577
Uncorrected formation energy (kJ per mole of atoms): -96.5
Magnetic moment (μB per formula unit): 1.00

Entry 2:
The following is a DFT calculation (PBE) of crystalline Na2TlPd2O6 at its relaxed geometry.

Cell and atoms, written as POSCAR:
```
Na2TlPd2O6
1.0
5.6345 -0.0110 0.0399
-2.7944 4.8927 0.0399
-1.0353 -1.7795 5.4698
Tl O Na Pd
1 6 2 2
direct
0.0000 0.0000 0.5000
0.2842 0.2842 0.3009
0.9513 0.5778 0.3039
0.7158 0.7158 0.6991
0.5778 0.9513 0.3039
0.4222 0.0487 0.6961
0.0487 0.4222 0.6961
0.8301 0.1699 0.0000
0.1699 0.8301 0.0000
0.6634 0.3366 0.5000
0.3366 0.6634 0.5000
```

Values from the calculation:
E_tot (eV per atom): -4.899
Uncorrected formation energy (kJ per mole of atoms): -76.7
Magnetic moment (μB per formula unit): 0.95

Entry 3:
The following is a DFT calculation (PBE) of crystalline Na2TlPdO4 at its relaxed geometry.

Cell and atoms, written as POSCAR:
```
Na2TlPdO4
1.0
-1.8298 2.5058 -1.3565
-1.2569 -3.3277 -4.4517
-3.9832 -0.7244 4.0349
O Na Tl Pd
4 2 1 1
direct
0.5000 0.2234 0.2127
0.5000 0.7766 0.7873
0.0000 0.7679 0.2153
0.0000 0.2321 0.7847
0.0000 0.5000 0.5000
0.5000 0.0000 0.5000
0.5000 0.5000 0.0000
0.0000 0.0000 0.0000
```

Values from the calculation:
E_tot (eV per atom): -4.681
Uncorrected formation energy (kJ per mole of atoms): -89.5
Magnetic moment (μB per formula unit): 0.81

Entry 4:
The following is a DFT calculation (PBE) of crystalline Na3Tl3PdO8 at its relaxed geometry.

Cell and atoms, written as POSCAR:
```
Na3Tl3PdO8
1.0
-4.9425 -4.5140 0.5780
4.3318 -0.3986 -5.1199
2.0769 -1.4701 6.2802
O Tl Na Pd
8 3 3 1
direct
0.7855 0.5710 0.2975
0.2265 0.0120 0.2975
0.2579 0.5157 0.2736
0.7421 0.4843 0.7264
0.2145 0.9880 0.7025
0.2145 0.4290 0.7025
0.7855 0.0120 0.2975
0.7735 0.9880 0.7025
0.5000 0.0000 0.5000
0.0000 0.5000 0.5000
0.5000 0.5000 0.5000
0.0000 0.5000 0.0000
0.0000 0.0000 0.0000
0.5000 0.5000 0.0000
0.0000 0.0000 0.5000
```

Values from the calculation:
E_tot (eV per atom): -4.698
Uncorrected formation energy (kJ per mole of atoms): -93.6
Magnetic moment (μB per formula unit): 0.00

Entry 5:
The following is a DFT calculation (PBE) of crystalline Na3Tm2PdO6 at its relaxed geometry.

Cell and atoms, written as POSCAR:
```
Na3Tm2PdO6
1.0
5.7021 -0.0242 0.0249
-2.8706 4.9268 0.0249
-0.9199 -1.5927 5.5533
O Pd Na Tm
6 1 3 2
direct
0.4115 0.0733 0.2216
0.9267 0.5885 0.7784
0.7504 0.7504 0.2010
0.0733 0.4115 0.2216
0.5885 0.9267 0.7784
0.2496 0.2496 0.7990
0.0000 0.0000 0.0000
0.8393 0.1607 0.5000
0.5000 0.5000 0.5000
0.1607 0.8393 0.5000
0.6698 0.3302 0.0000
0.3302 0.6698 0.0000
```

Values from the calculation:
E_tot (eV per atom): -6.149
Uncorrected formation energy (kJ per mole of atoms): -208.6
Magnetic moment (μB per formula unit): 1.00

Entry 6:
The following is a DFT calculation (PBE) of crystalline Na4TmPd3O8 at its relaxed geometry.

Cell and atoms, written as POSCAR:
```
Na4TmPd3O8
1.0
6.1909 0.0000 0.0000
0.0000 6.4528 0.0043
-3.0955 -3.2179 5.1038
O Pd Na Tm
8 3 4 1
direct
0.2247 0.6835 0.4495
0.2984 0.3472 0.5969
0.7137 0.2513 0.9542
0.2405 0.2513 0.9542
0.7595 0.7487 0.0458
0.7016 0.6528 0.4031
0.7753 0.3165 0.5505
0.2863 0.7487 0.0458
0.0000 0.5000 0.5000
0.5000 0.5000 0.5000
0.5000 0.5000 0.0000
0.5000 0.0000 0.5000
0.5000 0.0000 0.0000
0.0000 0.0000 0.5000
0.0000 0.0000 0.0000
0.0000 0.5000 0.0000
```

Values from the calculation:
E_tot (eV per atom): -5.397
Uncorrected formation energy (kJ per mole of atoms): -128.8
Magnetic moment (μB per formula unit): 1.02

Entry 7:
The following is a DFT calculation (PBE) of crystalline Na2TmPdO4 at its relaxed geometry.

Cell and atoms, written as POSCAR:
```
Na2TmPdO4
1.0
3.3593 0.0000 0.0000
0.0000 5.4256 0.0712
0.0000 -1.9114 5.5328
Tm Na O Pd
1 2 4 1
direct
0.5000 0.5000 0.0000
0.5000 0.0000 0.5000
0.0000 0.5000 0.5000
0.0000 0.2541 0.7908
0.0000 0.7459 0.2092
0.5000 0.7669 0.7799
0.5000 0.2331 0.2201
0.0000 0.0000 0.0000
```

Values from the calculation:
E_tot (eV per atom): -5.840
Uncorrected formation energy (kJ per mole of atoms): -175.9
Magnetic moment (μB per formula unit): 0.89

Entry 8:
The following is a DFT calculation (PBE) of crystalline Na3Tm3PdO8 at its relaxed geometry.

Cell and atoms, written as POSCAR:
```
Na3Tm3PdO8
1.0
6.5989 -0.0001 0.0000
-3.2996 5.7151 -0.0203
0.0001 -3.7913 5.5625
O Tm Pd Na
8 3 1 3
direct
0.7775 0.5550 0.2991
0.2225 0.9785 0.7009
0.7775 0.0215 0.2991
0.2440 0.0215 0.2991
0.7560 0.9785 0.7009
0.2225 0.4450 0.7009
0.7352 0.4704 0.7057
0.2648 0.5296 0.2943
0.0000 0.5000 0.5000
0.5000 0.0000 0.5000
0.5000 0.5000 0.5000
0.0000 0.0000 0.5000
0.0000 0.0000 0.0000
0.0000 0.5000 0.0000
0.5000 0.5000 0.0000
```

Values from the calculation:
E_tot (eV per atom): -6.530
Uncorrected formation energy (kJ per mole of atoms): -229.8
Magnetic moment (μB per formula unit): 0.00

Entry 9:
The following is a DFT calculation (PBE) of crystalline NaTm2PdO5 at its relaxed geometry.

Cell and atoms, written as POSCAR:
```
NaTm2PdO5
1.0
6.3982 0.0000 0.0000
0.0000 6.3982 0.0000
-3.1991 -3.1991 5.9327
O Tm Na Pd
10 4 2 2
direct
0.0208 0.5208 0.7697
0.2489 0.0208 0.7697
0.5208 0.7489 0.7697
0.9792 0.4792 0.2303
0.4792 0.2511 0.2303
0.7489 0.2489 0.7697
0.0000 0.0000 0.0000
0.5000 0.5000 0.0000
0.2511 0.7511 0.2303
0.7511 0.9792 0.2303
0.1728 0.3272 0.0000
0.6728 0.1728 0.0000
0.8272 0.6728 0.0000
0.3272 0.8272 0.0000
0.2500 0.2500 0.5000
0.7500 0.7500 0.5000
0.7500 0.2500 0.5000
0.2500 0.7500 0.5000
```

Values from the calculation:
E_tot (eV per atom): -6.619
Uncorrected formation energy (kJ per mole of atoms): -207.1
Magnetic moment (μB per formula unit): 1.03

Entry 10:
The following is a DFT calculation (PBE) of crystalline Na2Tm2PdO6 at its relaxed geometry.

Cell and atoms, written as POSCAR:
```
Na2Tm2PdO6
1.0
5.6626 -0.0277 0.1523
-2.8229 4.9089 0.1523
-0.9142 -1.5713 5.5764
O Tm Pd Na
6 2 1 2
direct
0.6351 0.9552 0.3058
0.0448 0.3649 0.6942
0.2519 0.2519 0.2993
0.3649 0.0448 0.6942
0.9552 0.6351 0.3058
0.7481 0.7481 0.7007
0.6635 0.3365 0.5000
0.3365 0.6635 0.5000
0.0000 0.0000 0.5000
0.1482 0.8518 0.0000
0.8518 0.1482 0.0000
```

Values from the calculation:
E_tot (eV per atom): -6.400
Uncorrected formation energy (kJ per mole of atoms): -209.4
Magnetic moment (μB per formula unit): 0.00

Entry 11:
The following is a DFT calculation (PBE) of crystalline Na3TmPd2O6 at its relaxed geometry.

Cell and atoms, written as POSCAR:
```
Na3TmPd2O6
1.0
5.6280 -0.0734 0.0322
-2.8762 4.8381 0.0322
-0.8870 -1.5358 5.4909
O Pd Na Tm
6 2 3 1
direct
0.9135 0.5788 0.7895
0.2633 0.2633 0.7745
0.7367 0.7367 0.2255
0.5788 0.9135 0.7895
0.0865 0.4212 0.2105
0.4212 0.0865 0.2105
0.6647 0.3353 0.0000
0.3353 0.6647 0.0000
0.1746 0.8254 0.5000
0.5000 0.5000 0.5000
0.8254 0.1746 0.5000
0.0000 0.0000 0.0000
```

Values from the calculation:
E_tot (eV per atom): -5.528
Uncorrected formation energy (kJ per mole of atoms): -142.9
Magnetic moment (μB per formula unit): 2.00

Entry 12:
The following is a DFT calculation (PBE) of crystalline NaUPd2O8 at its relaxed geometry.

Cell and atoms, written as POSCAR:
```
NaUPd2O8
1.0
4.9511 0.0920 -0.0032
0.1450 4.9294 -0.0054
0.0050 0.0079 6.3668
O Pd U Na
8 2 1 1
direct
0.7964 0.2066 0.7740
0.6689 0.6724 0.4999
0.3311 0.3276 0.5001
0.7963 0.2065 0.2260
0.3215 0.3178 0.0000
0.2036 0.7934 0.2260
0.2037 0.7935 0.7740
0.6785 0.6822 0.0000
0.5000 0.5000 0.7489
0.5000 0.5000 0.2511
0.0000 0.0000 0.0000
0.0000 0.0000 0.5000
```

Values from the calculation:
E_tot (eV per atom): -6.540
Uncorrected formation energy (kJ per mole of atoms): -127.2
Magnetic moment (μB per formula unit): 1.04